Al3GeAu PBE relaxed; calculated formation energy = 0.384 eV per atom; energy relative to the lowest polymorph listed for this composition = 0.0 meV per atom; Fermi-level density of states = 4.70 states/eV/cell; total magnetic moment = 0.00 μB per cell
1.0
-4.4236 -1.3309 1.4809
1.5567 -4.5614 0.5507
1.2414 0.9774 4.5865
Al Ge Au
3 1 1
Cartesian
-2.2118 -0.6654 0.7405
0.6207 0.4887 2.2933
0.7783 -2.2807 0.2753
-0.8127 -2.4574 3.3091
0.0000 0.0000 0.0000

LaYHfSn2 PBE relaxed; calculated formation energy = 0.926 eV per atom; energy relative to the lowest polymorph listed for this composition = 465.8 meV per atom; Fermi-level density of states = 6.27 states/eV/cell; total magnetic moment = 0.41 μB per cell
1.0
5.6098 0.0000 0.0000
0.0000 5.5398 0.0000
0.0000 0.0000 5.6098
Sn Y La Hf
2 1 1 1
Cartesian
0.0000 0.0000 2.8049
2.8049 0.0000 0.0000
0.0000 0.0000 0.0000
0.0000 2.7699 0.0000
2.8049 2.7699 2.8049

Mg2MnRh PBE relaxed; calculated formation energy = -0.136 eV per atom; Fermi-level density of states = 2.18 states/eV/cell; total magnetic moment = 3.84 μB per cell
1.0
-4.5790 1.2160 -2.5194
-1.0712 -2.5440 -4.6016
0.9925 -0.5625 5.2433
Mn Mg Rh
1 2 1
Cartesian
-2.6967 -0.6338 -3.3987
-3.1655 0.0043 -0.3676
-0.1117 -0.0262 -0.1407
-1.5089 -1.8986 -1.5313

SrMg2SiRu PBE relaxed; Fermi-level density of states = 2.22 states/eV/cell; total magnetic moment = 0.00 μB per cell; raw formation energy = -1.12 eV/f.u.
1.0
5.0254 0.0000 0.0000
0.0000 4.6463 0.0000
0.0000 0.0000 5.0254
Si Ru Mg Sr
1 1 2 1
Cartesian
0.0000 2.3232 0.0000
0.0000 0.0000 0.0000
2.5127 0.0000 0.0000
0.0000 0.0000 2.5127
2.5127 2.3232 2.5127

LiInCoAg PBE relaxed; calculated formation energy = 0.019 eV per atom; Fermi-level density of states = 4.75 states/eV/cell; total magnetic moment = 0.72 μB per cell
1.0
-0.2546 0.7394 -4.3668
-0.6490 -3.3881 -2.7893
-3.8838 -0.4316 -2.1000
Ag Co Li In
1 1 1 1
Cartesian
0.0000 0.0000 0.0000
-3.5906 -2.3102 -6.9421
-1.1969 -0.7701 -2.3140
-2.3937 -1.5401 -4.6281

Zn2AsPbO8 PBE relaxed; Fermi-level density of states = 8.77 states/eV/cell; total magnetic moment = 2.89 μB per cell; raw formation energy = -5.98 eV/f.u.
1.0
5.7553 0.6263 0.0000
-1.9913 5.4361 0.0000
-1.8820 -3.0312 4.5592
O Zn As Pb
8 2 1 1
Cartesian
3.3656 3.8964 0.8040
1.2871 -0.3288 1.2669
-0.1174 -1.7134 3.7552
0.1174 1.7134 3.7552
2.7475 2.0234 3.2923
0.3984 2.1660 0.8040
3.0078 -1.3971 3.2923
4.4682 0.9550 1.2669
1.8820 3.0312 0.0000
2.8777 0.3131 2.2796
0.0000 0.0000 0.0000
-0.9957 2.7180 2.2796

SrLi2Cd2 PBE relaxed; calculated formation energy = -0.176 eV per atom; energy relative to the lowest polymorph listed for this composition = 30.0 meV per atom; Fermi-level density of states = 4.57 states/eV/cell; total magnetic moment = 0.00 μB per cell
1.0
-0.9172 -5.6486 -0.4110
1.6798 -3.5070 4.9001
-7.9337 -1.8212 3.0898
Li Cd Sr
4 4 2
Cartesian
-4.4430 -6.0002 2.5492
-7.7673 -5.5557 4.0164
-2.7281 -4.9766 5.0296
0.5962 -5.4211 3.5624
-1.9242 -1.9539 1.3439
-1.8899 -4.9355 2.3500
-5.2469 -9.0229 6.2349
-5.2812 -6.0413 5.2288
-5.6479 -2.9540 3.4894
-1.5232 -8.0228 4.0894

ScAgF3 PBE relaxed; energy relative to the lowest polymorph listed for this composition = 0.0 meV per atom; Fermi-level density of states = 3.04 states/eV/cell; total magnetic moment = 0.00 μB per cell; raw formation energy = -13.02 eV/f.u.
1.0
-1.7188 0.3696 3.8145
1.8505 -3.5809 1.1808
3.3560 2.1638 1.3025
Sc F Ag
1 3 1
Cartesian
0.0000 0.0000 0.0000
1.6780 1.0819 0.6513
-0.8594 0.1848 1.9073
0.9253 -1.7905 0.5904
1.7439 -0.5237 3.1489

Li2NiAu PBE relaxed; calculated formation energy = -0.166 eV per atom; Fermi-level density of states = 1.99 states/eV/cell; total magnetic moment = 0.00 μB per cell
1.0
2.6780 0.0000 0.0000
0.0000 4.0121 0.0000
0.0000 0.0000 5.2607
Au Ni Li
1 1 2
Cartesian
1.3390 2.0061 3.9215
0.0000 0.0000 2.6349
0.0000 0.0000 5.2214
1.3390 2.0061 1.3741

Na2SnPb PBE relaxed; calculated formation energy = -0.121 eV per atom; energy relative to the lowest polymorph listed for this composition = 26.8 meV per atom; Fermi-level density of states = 0.96 states/eV/cell; total magnetic moment = 0.00 μB per cell
1.0
-0.7146 1.1396 3.4413
-2.8667 -4.6338 0.9393
6.4537 -0.7752 -0.4024
Pb Sn Na
1 1 2
Cartesian
0.9224 -0.2782 1.4424
3.4504 -2.0220 0.5555
1.7785 -3.8331 2.7920
-1.0743 -1.9139 3.5538

LiSi2Pt PBE relaxed; energy relative to the lowest polymorph listed for this composition = 340.0 meV per atom; Fermi-level density of states = 1.42 states/eV/cell; total magnetic moment = 0.00 μB per cell; raw formation energy = -0.59 eV/f.u.
1.0
-1.6421 -2.1587 -0.6765
2.1404 -1.7532 0.3989
-1.9689 -0.7625 7.2129
Li Si Pt
1 2 1
Cartesian
-1.0025 -0.3883 3.6725
-1.9426 -0.7523 7.1164
-0.2108 -2.1340 1.5459
-1.2683 -2.5436 5.4200

SrCeSe PBE relaxed; Fermi-level density of states = 11.97 states/eV/cell; total magnetic moment = 2.28 μB per cell; raw formation energy = -2.55 eV/f.u.
1.0
5.2363 0.0000 0.0000
0.0000 3.9689 0.0000
-2.6182 -1.9845 9.0909
Sr Se Ce
2 2 2
Cartesian
2.6182 0.0000 3.1191
0.0000 1.9845 5.9718
0.0000 1.9845 2.8720
2.6182 0.0000 6.2189
1.2940 1.9845 0.0000
3.9423 1.9845 0.0000